No. 1
# NaHo4Hg7 | the Alexandria database | PBE | optimized geometry
# * N(E_F): 7.6 states/eV/f.u.
# * formation enthalpy at 0 K: -0.29 eV per atom
data_NaHo4Hg7
_symmetry_space_group_name_H-M 'C 1 2/m 1'
_symmetry_Int_Tables_number 12
_cell_length_a 12.673
_cell_length_b 5.375
_cell_length_c 11.004
_cell_angle_alpha 90.00
_cell_angle_beta 121.70
_cell_angle_gamma 90.00
loop_
_symmetry_equiv_pos_as_xyz
'x,y,z'
'-x,-y,-z'
'-x,y,-z'
'x,-y,z'
'x+1/2,y+1/2,z'
'-x+1/2,-y+1/2,-z'
'-x+1/2,y+1/2,-z'
'x+1/2,-y+1/2,z'
loop_
_atom_site_label
_atom_site_type_symbol
_atom_site_fract_x
_atom_site_fract_y
_atom_site_fract_z
Na1 Na 0.000 0.000 0.000
Ho1 Ho 0.085 0.500 0.777
Ho2 Ho 0.236 0.500 0.326
Hg1 Hg 0.000 0.500 0.000
Hg2 Hg 0.069 0.000 0.339
Hg3 Hg 0.138 0.500 0.534
Hg4 Hg 0.206 0.000 0.913

No. 2
# NaHo2Hg | the Alexandria database | PBE | optimized geometry
# * N(E_F): 4.1 states/eV/f.u.
# * energy relative to the lowest polymorph listed for this composition: 5 meV per atom
# * formation enthalpy at 0 K: -0.04 eV per atom
data_NaHo2Hg
_symmetry_space_group_name_H-M 'P 4/m m m'
_symmetry_Int_Tables_number 123
_symmetry_space_group_name_Hall '-P 4 2'
_cell_length_a 3.740
_cell_length_b 3.740
_cell_length_c 8.374
_cell_angle_alpha 90.00
_cell_angle_beta 90.00
_cell_angle_gamma 90.00
loop_
_atom_site_label
_atom_site_type_symbol
_atom_site_fract_x
_atom_site_fract_y
_atom_site_fract_z
Na1 Na 0.000 0.000 0.000
Ho1 Ho 0.500 0.500 0.292
Hg1 Hg 0.000 0.000 0.500

No. 3
# NaHo4Hg5 | the Alexandria database | PBE | optimized geometry
# * N(E_F): 6.5 states/eV/f.u.
# * formation enthalpy at 0 K: -0.43 eV per atom
data_NaHo4Hg5
_symmetry_space_group_name_H-M 'P 4/m m m'
_symmetry_Int_Tables_number 123
_symmetry_space_group_name_Hall '-P 4 2'
_cell_length_a 3.696
_cell_length_b 3.696
_cell_length_c 18.712
_cell_angle_alpha 90.00
_cell_angle_beta 90.00
_cell_angle_gamma 90.00
loop_
_atom_site_label
_atom_site_type_symbol
_atom_site_fract_x
_atom_site_fract_y
_atom_site_fract_z
Na1 Na 0.000 0.000 0.000
Ho1 Ho 0.000 0.000 0.201
Ho2 Ho 0.000 0.000 0.401
Hg1 Hg 0.500 0.500 0.108
Hg2 Hg 0.500 0.500 0.302
Hg3 Hg 0.500 0.500 0.500

No. 4
# NaHoHg | the Alexandria database | PBE | optimized geometry
# * N(E_F): 2.0 states/eV/f.u.
# * energy relative to the lowest polymorph listed for this composition: 103 meV per atom
# * formation enthalpy at 0 K: -0.11 eV per atom
data_NaHoHg
_symmetry_space_group_name_H-M 'I 4 m m'
_symmetry_Int_Tables_number 107
_symmetry_space_group_name_Hall 'I 4 -2'
_cell_length_a 3.695
_cell_length_b 3.695
_cell_length_c 13.079
_cell_angle_alpha 90.00
_cell_angle_beta 90.00
_cell_angle_gamma 90.00
loop_
_atom_site_label
_atom_site_type_symbol
_atom_site_fract_x
_atom_site_fract_y
_atom_site_fract_z
Na1 Na 0.000 0.000 0.000
Ho1 Ho 0.000 0.000 0.279
Hg1 Hg 0.000 0.000 0.660

No. 5
# NaHo2Hg3 | the Alexandria database | PBE | optimized geometry
# * N(E_F): 3.4 states/eV/f.u.
# * formation enthalpy at 0 K: -0.39 eV per atom
data_NaHo2Hg3
_symmetry_space_group_name_H-M 'P 4/m m m'
_symmetry_Int_Tables_number 123
_symmetry_space_group_name_Hall '-P 4 2'
_cell_length_a 3.673
_cell_length_b 3.673
_cell_length_c 11.421
_cell_angle_alpha 90.00
_cell_angle_beta 90.00
_cell_angle_gamma 90.00
loop_
_atom_site_label
_atom_site_type_symbol
_atom_site_fract_x
_atom_site_fract_y
_atom_site_fract_z
Na1 Na 0.000 0.000 0.000
Ho1 Ho 0.000 0.000 0.335
Hg1 Hg 0.500 0.500 0.180
Hg2 Hg 0.500 0.500 0.500

No. 6
# Na2HoHg8 | the Alexandria database | PBE | optimized geometry
# * N(E_F): 3.7 states/eV/f.u.
# * formation enthalpy at 0 K: -0.22 eV per atom
data_Na2HoHg8
_symmetry_space_group_name_H-M 'C 1 2/m 1'
_symmetry_Int_Tables_number 12
_cell_length_a 16.108
_cell_length_b 4.968
_cell_length_c 7.245
_cell_angle_alpha 90.00
_cell_angle_beta 109.08
_cell_angle_gamma 90.00
loop_
_symmetry_equiv_pos_as_xyz
'x,y,z'
'-x,-y,-z'
'-x,y,-z'
'x,-y,z'
'x+1/2,y+1/2,z'
'-x+1/2,-y+1/2,-z'
'-x+1/2,y+1/2,-z'
'x+1/2,-y+1/2,z'
loop_
_atom_site_label
_atom_site_type_symbol
_atom_site_fract_x
_atom_site_fract_y
_atom_site_fract_z
Na1 Na 0.218 0.000 0.149
Ho1 Ho 0.000 0.500 0.500
Hg1 Hg 0.020 0.000 0.222
Hg2 Hg 0.097 0.500 0.948
Hg3 Hg 0.150 0.000 0.655
Hg4 Hg 0.170 0.500 0.387

No. 7
# NaNdHoHg | the Alexandria database | PBE | optimized geometry
# * N(E_F): 4.9 states/eV/f.u.
# * formation enthalpy at 0 K: -0.05 eV per atom
data_NaNdHoHg
_symmetry_space_group_name_H-M 'F -4 3 m'
_symmetry_Int_Tables_number 216
_symmetry_space_group_name_Hall 'F -4 2 3'
_cell_length_a 7.661
_cell_length_b 7.661
_cell_length_c 7.661
_cell_angle_alpha 90.00
_cell_angle_beta 90.00
_cell_angle_gamma 90.00
loop_
_atom_site_label
_atom_site_type_symbol
_atom_site_fract_x
_atom_site_fract_y
_atom_site_fract_z
Na1 Na 0.000 0.000 0.000
Nd1 Nd 0.250 0.250 0.250
Ho1 Ho 0.250 0.250 0.750
Hg1 Hg 0.000 0.000 0.500

No. 8
# NaNdHo2Hg4 | the Alexandria database | PBE | optimized geometry
# * N(E_F): 7.5 states/eV/f.u.
# * formation enthalpy at 0 K: -0.40 eV per atom
data_NaNdHo2Hg4
_symmetry_space_group_name_H-M 'R -3 m'
_symmetry_Int_Tables_number 166
_symmetry_space_group_name_Hall '-R 3 2"'
_cell_length_a 5.2150
_cell_length_b 5.2150
_cell_length_c 26.3282
_cell_angle_alpha 90.00
_cell_angle_beta 90.00
_cell_angle_gamma 120.00
loop_
_atom_site_label
_atom_site_type_symbol
_atom_site_fract_x
_atom_site_fract_y
_atom_site_fract_z
Na1 Na 0.0000 0.0000 0.0000
Nd1 Nd 0.0000 0.0000 0.5000
Ho1 Ho 0.0000 0.0000 0.2553
Hg1 Hg 0.0000 0.0000 0.1206
Hg2 Hg 0.0000 0.0000 0.3744